Density functional theory data (PBE) for a geometry-optimized YMg2Tc structure.

Structure (POSCAR):
```
YMg2Tc
1.0
-2.5470 2.4792 0.7751
-2.0766 -2.5956 1.4781
2.6672 1.0127 5.5253
Mg Tc Y
2 1 1
Direct
0.0000 0.0000 0.0431
0.0000 0.0000 0.4569
0.5000 0.5000 0.2500
0.5000 0.5000 0.7500
```

Values from the calculation:
polymorph energy (0 for the lowest one) = 128.5 meV per atom
theoretical density = 4752 kg/m³
crystal system = tetragonal
volume = 82.3 Å³/cell
energy relative to the elements = 0.22 eV/atom
DOS(E_F) = 3.1 states/eV/cell
total magnetization = 0.00 Bohr magnetons per cell
space-group type = P4/mmm